No. 1
Below is crystalline Tb8TlHg2 at its relaxed geometry, with properties calculated at the PBE-GGA level.

Summary:
Volume in Å³ per atom: 30.2
Formation energy in eV per atom: -0.12
E above lowest polymorph in meV/atom: 34

Cell lengths 8.820, 14.593, 5.513 Å; angles 90.00, 110.69, 90.00 degrees
Space group C2/m (No. 12)
Inequivalent atoms, fractional coordinates:
Tb 0.000 0.225 0.000 x4
Tb 0.102 0.500 0.802 x4
Tb 0.208 0.115 0.606 x8
Tl 0.000 0.000 0.000 x2
Hg 0.000 0.306 0.500 x4

No. 2
Below is crystalline Sb2P2Au at its relaxed geometry, with properties calculated at the PBE-GGA level.

Summary:
Volume in Å³ per atom: 25.2
Energy relative to the elements, uncorrected in eV/atom: 0.476
E above lowest polymorph in meV/atom: 127

Cell lengths 4.362, 4.362, 13.232 Å; angles 90.00, 90.00, 90.00 degrees
Space group I4/mmm (No. 139)
Inequivalent atoms, fractional coordinates:
Sb 0.000 0.000 0.130 x4
P 0.000 0.500 0.250 x4
Au 0.000 0.000 0.500 x2

No. 3
Below is crystalline ZrTlPt2 at its relaxed geometry, with properties calculated at the PBE-GGA level.

Summary:
Volume in Å³ per atom: 19.6
Formation energy in eV per atom: -0.43

Cell lengths 3.607, 3.607, 6.014 Å; angles 90.00, 90.00, 90.00 degrees
Space group P4mm (No. 99)
Inequivalent atoms, fractional coordinates:
Zr 0.000 0.000 0.000 x1
Tl 0.500 0.500 0.669 x1
Pt 0.000 0.000 0.457 x1
Pt 0.500 0.500 0.182 x1

No. 4
Below is crystalline LiIrIN2 at its relaxed geometry, with properties calculated at the PBE-GGA level.

Summary:
Volume in Å³ per atom: 25.5
Energy relative to the elements, uncorrected in eV/atom: 0.357
E above lowest polymorph in meV/atom: 0

Cell lengths 3.767, 3.767, 8.985 Å; angles 90.00, 90.00, 90.00 degrees
Space group P4/mmm (No. 123)
Inequivalent atoms, fractional coordinates:
Li 0.000 0.000 0.000 x1
Ir 0.500 0.500 0.500 x1
I 0.500 0.500 0.000 x1
N 0.000 0.500 0.500 x2

No. 5
Below is crystalline LiAlAu4 at its relaxed geometry, with properties calculated at the PBE-GGA level.

Summary:
Volume in Å³ per atom: 19.6
Formation energy in eV per atom: -0.10
E above lowest polymorph in meV/atom: 284

Cell lengths 7.778, 7.778, 7.778 Å; angles 90.00, 90.00, 90.00 degrees
Space group F-43m (No. 216)
Inequivalent atoms, fractional coordinates:
Li 0.000 0.000 0.000 x4
Al 0.250 0.250 0.750 x4
Au 0.125 0.125 0.375 x16

No. 6
Below is crystalline Dy3ThCu4 at its relaxed geometry, with properties calculated at the PBE-GGA level.

Summary:
Volume in Å³ per atom: 21.4
Formation energy in eV per atom: -0.19

Cell lengths 4.948, 4.948, 6.996 Å; angles 90.00, 90.00, 90.00 degrees
Space group P4/mmm (No. 123)
Inequivalent atoms, fractional coordinates:
Dy 0.000 0.000 0.000 x1
Dy 0.000 0.000 0.500 x1
Dy 0.500 0.500 0.000 x1
Th 0.500 0.500 0.500 x1
Cu 0.000 0.500 0.245 x4

Number 1 is which compound? Tb8TlHg2

What did the fifth record say?
Below is crystalline LiAlAu4 at its relaxed geometry, with properties calculated at the PBE-GGA level.

Summary:
Volume in Å³ per atom: 19.6
Formation energy in eV per atom: -0.10
E above lowest polymorph in meV/atom: 284

Cell lengths 7.778, 7.778, 7.778 Å; angles 90.00, 90.00, 90.00 degrees
Space group F-43m (No. 216)
Inequivalent atoms, fractional coordinates:
Li 0.000 0.000 0.000 x4
Al 0.250 0.250 0.750 x4
Au 0.125 0.125 0.375 x16